Compound: Y2Lu4Zn3C3
Source: OQMD
Functional: PBE
Structure: optimized geometry

Lattice parameters (Å, degrees): 6.0501 6.0501 15.6058 101.03 101.03 59.91
Fractional positions:
Y: 0.0318 0.8671 0.5976
Y: 0.1329 0.9682 0.9024
Y: 0.8671 0.0318 0.0976
Y: 0.9682 0.1329 0.4024
Lu: 0.1932 0.3589 0.0827
Lu: 0.3043 0.4743 0.4174
Lu: 0.3589 0.1932 0.5827
Lu: 0.4743 0.3043 0.9174
Lu: 0.5257 0.6957 0.0826
Lu: 0.6411 0.8068 0.4173
Lu: 0.6957 0.5257 0.5826
Lu: 0.8068 0.6411 0.9173
Zn: 0.0844 0.4050 0.7506
Zn: 0.4050 0.0844 0.2506
Zn: 0.4195 0.5805 0.2500
Zn: 0.5805 0.4195 0.7500
Zn: 0.5950 0.9156 0.7494
Zn: 0.9156 0.5950 0.2494
C: 0.0000 0.5000 0.5000
C: 0.1656 0.6689 0.0000
C: 0.3311 0.8344 0.5000
C: 0.5000 0.0000 0.0000
C: 0.6689 0.1656 0.5000
C: 0.8344 0.3311 0.0000

Results
**ρ**: 7.6 g/cm3
**Total DFT energy (no corrections)**: -5.51 eV/atom